An optimized crystal structure of NaMg2TaB. Source: Alexandria via LeMat-Bulk, functional PBE.

The structure in POSCAR format:
```
NaMg2TaB
1.0
-2.692 -3.527 -1.207
-1.096 -0.838 4.895
-3.594 2.852 -0.317
Na Mg B Ta
1 2 1 1
direct
0.000 0.000 0.000 Na
0.000 0.000 0.500 Mg
0.500 0.000 0.000 Mg
0.500 0.500 0.500 B
0.000 0.500 0.000 Ta
```

Summary:
DFT formation energy (eV/atom): 2.28
Final energy (Ha/atom): -0.0855
SG: No. 123

***

An optimized crystal structure of RbCo2H7. Source: Alexandria via LeMat-Bulk, functional PBE.

The structure in POSCAR format:
```
RbCo2H7
1.0
3.354 0.000 0.000
0.000 4.408 -2.406
0.000 0.076 5.382
Rb Co H
1 2 7
direct
0.000 0.000 0.000 Rb
0.500 0.312 0.625 Co
0.500 0.688 0.375 Co
0.000 0.326 0.653 H
0.000 0.674 0.347 H
0.500 0.355 0.341 H
0.500 0.645 0.659 H
0.500 0.014 0.659 H
0.500 0.986 0.341 H
0.500 0.500 0.000 H
```

Summary:
Final energy (Ha/atom): -0.1392
SG: No. 65

***

An optimized crystal structure of Cd2AsP. Source: Alexandria via LeMat-Bulk, functional PBE.

The structure in POSCAR format:
```
Cd2AsP
1.0
10.310 0.112 0.066
9.735 3.399 0.066
9.735 1.705 2.941
As Cd P
1 2 1
direct
0.772 0.772 0.772 As
0.006 0.006 0.006 Cd
0.238 0.238 0.238 Cd
0.484 0.484 0.484 P
```

Summary:
Energy above the lowest structure with this stoichiometry (meV/atom): 56
DFT formation energy (eV/atom): 0.13
Final energy (Ha/atom): -0.1043
SG: No. 160

***

no.,density of states at the Fermi level (states/eV per cell)
1,3.76
2,6.65
3,0.78